# 1
DFT (PBE) results for a relaxed structure of Er12Tm3Zr.

```
Er12Tm3Zr
1.0
4.9293 0.0000 0.0000
0.0000 4.9293 0.0000
0.0000 0.0000 19.6235
Tm Er Zr
3 12 1
Cartesian
0.0000 0.0000 4.8710 Tm
0.0000 0.0000 9.8118 Tm
0.0000 0.0000 14.7525 Tm
2.4647 2.4647 14.7628 Er
2.4647 0.0000 17.2970 Er
0.0000 2.4647 7.3258 Er
0.0000 2.4647 17.2970 Er
0.0000 2.4647 2.3266 Er
2.4647 0.0000 7.3258 Er
2.4647 0.0000 2.3266 Er
2.4647 2.4647 4.8607 Er
2.4647 2.4647 9.8118 Er
2.4647 0.0000 12.2978 Er
2.4647 2.4647 0.0000 Er
0.0000 2.4647 12.2978 Er
0.0000 0.0000 0.0000 Zr
```

Values from the calculation:
- E_form (eV/f.u.) = 0.6
- energy (eV/cell) = -76.14
- space-group type = P4/mmm, No. 123

---

# 2
DFT (PBE) results for a relaxed structure of Er4Tm3Zr.

```
Er4Tm3Zr
1.0
-3.1842 0.9840 -0.9433
1.1048 -1.8258 -5.6429
-6.0212 -8.7551 4.8724
Tm Er Zr
3 4 1
Cartesian
-1.7940 -3.2170 -3.6502 Tm
0.5524 -0.9129 -2.8214 Tm
-6.3066 -6.3799 1.9364 Tm
-3.9368 -1.7690 -1.2564 Er
-4.5526 -4.9676 -2.5243 Er
-4.1637 -7.8280 -0.4574 Er
-3.5479 -4.6294 0.8105 Er
-1.5921 0.4920 -0.4716 Zr
```

Values from the calculation:
- E_form (eV/f.u.) = 0.3
- energy (eV/cell) = -39.96
- space-group type = P-1, No. 2

---

# 3
DFT (PBE) results for a relaxed structure of Er2TmZr.

```
Er2TmZr
1.0
5.4526 0.0000 0.0000
2.7263 4.7220 0.0000
2.7263 1.5740 4.4520
Er Tm Zr
2 1 1
Cartesian
2.7263 1.5740 1.1130 Er
8.1788 4.7220 3.3390 Er
5.4526 3.1480 2.2260 Tm
0.0000 0.0000 0.0000 Zr
```

Values from the calculation:
- E_form (eV/f.u.) = 0.8
- energy (eV/cell) = -21.36
- space-group type = Fm-3m, No. 225

---

# 4
DFT (PBE) results for a relaxed structure of Er12Tm2Zr.

```
Er12Tm2Zr
1.0
6.3148 -1.4931 0.8632
-1.4931 6.3148 0.8632
2.8254 2.8254 25.1084
Er Zr Tm
24 2 4
Cartesian
1.4995 1.5464 8.3211 Er
3.7368 3.6899 17.6505 Er
2.1814 6.0854 15.3398 Er
3.4612 7.3652 22.4422 Er
2.9688 3.0137 14.4956 Er
5.8227 6.2973 24.8119 Er
6.8621 6.7881 21.7806 Er
3.1959 3.2699 5.9173 Er
3.8864 3.4118 23.9487 Er
2.2675 2.2227 11.4760 Er
7.3017 3.3978 22.8154 Er
0.2820 4.1860 4.3925 Er
5.4245 5.3797 15.3588 Er
4.2354 3.7608 2.8861 Er
6.1007 6.1476 18.5137 Er
1.3499 1.8245 2.0229 Er
0.8590 0.7851 5.0541 Er
1.5618 5.4657 11.4949 Er
5.4945 1.5906 11.4672 Er
6.0566 2.1526 15.3675 Er
3.9573 3.9104 9.1843 Er
4.3773 4.4512 20.9174 Er
4.2494 0.3454 4.0194 Er
4.6335 4.6783 12.3392 Er
8.3300 4.4260 25.8587 Zr
3.2211 -0.6828 0.9761 Zr
2.7921 6.6960 18.9737 Tm
4.8274 0.9234 7.8412 Tm
6.7237 2.8198 18.9935 Tm
0.9511 4.8551 7.8610 Tm
```

Values from the calculation:
- E_form (eV/f.u.) = 1.8
- energy (eV/cell) = -140.83
- space-group type = C2/m, No. 12

---

# 5
DFT (PBE) results for a relaxed structure of Er3Tm8Zr.

```
Er3Tm8Zr
1.0
-7.1282 1.1056 -2.1478
-2.2703 -5.3522 4.7797
3.8804 7.2582 4.0450
Zr Tm Er
1 8 3
Cartesian
0.0000 0.0000 0.0000 Zr
-2.4646 0.2117 1.9256 Tm
-7.3282 -1.9859 3.2876 Tm
-3.0535 2.7999 4.7513 Tm
-3.6395 -2.5580 4.3990 Tm
-1.8787 5.5696 2.2779 Tm
-6.1533 0.7838 0.8141 Tm
1.8100 4.9975 3.3893 Tm
0.6352 2.2278 5.8628 Tm
-4.6992 -2.1233 1.3160 Er
-1.5446 -0.1087 5.0703 Er
-3.9735 3.1202 1.6066 Er
```

Values from the calculation:
- E_form (eV/f.u.) = 8.8
- energy (eV/cell) = -49.20
- space-group type = I4/mmm, No. 139

---

# 6
DFT (PBE) results for a relaxed structure of Er2Tm8Zr.

```
Er2Tm8Zr
1.0
6.1799 1.5733 1.1938
2.0341 9.1615 2.9550
2.0341 5.3128 8.0275
Tm Er Zr
8 2 1
Cartesian
6.4632 6.3471 6.7675 Tm
6.2483 4.8953 3.7144 Tm
6.9181 9.7264 7.3800 Tm
3.7848 7.8210 7.8858 Tm
3.7848 9.7005 5.4087 Tm
6.4632 8.2266 4.2904 Tm
3.9998 11.1522 8.4619 Tm
3.3299 6.3212 4.7963 Tm
6.6842 12.6420 9.5922 Er
3.5638 3.4056 2.5840 Er
0.0000 0.0000 0.0000 Zr
```

Values from the calculation:
- E_form (eV/f.u.) = 2.3
- energy (eV/cell) = -51.12
- space-group type = C2/m, No. 12